The following is a PBE+U calculation of a relaxed structure of NiSO2, from Alexandria.

Output
Calculated total energy ... -4.796 eV per atom
V ... 120.5 Å³/cell
Total moment ... 1.000 μB per formula unit

Unit cell a=4.429 b=4.566 c=6.728 alpha=85.23 beta=80.71 gamma=63.85
Space group P1 (No. 1)
Asymmetric unit:
1 Ni 0.000 0.000 0.000 [1 per cell]
2 Ni 0.469 0.784 0.452 [1 per cell]
3 S 0.502 0.647 0.908 [1 per cell]
4 S 0.965 0.112 0.311 [1 per cell]
5 O 0.260 0.795 0.736 [1 per cell]
6 O 0.541 0.298 0.962 [1 per cell]
7 O 0.641 0.121 0.444 [1 per cell]
8 O 0.907 0.475 0.310 [1 per cell]